1.
PBE La2TbHgSe5, relaxed; DFT total energy = -5.14 eV/atom; DOS at the Fermi energy = 2.3 states/eV/f.u.; formation energy (no corrections) = -1.56 eV per atom
1.0
2.087 -8.940 0.000
2.087 8.940 0.000
0.000 0.000 12.861
La Tb Hg Se
4 2 2 10
Direct
0.120 0.880 0.500
0.132 0.868 0.124
0.868 0.132 0.624
0.880 0.120 0.000
0.197 0.803 0.823
0.803 0.197 0.323
0.459 0.541 0.276
0.541 0.459 0.776
0.044 0.956 0.902
0.291 0.709 0.480
0.306 0.694 0.163
0.356 0.644 0.816
0.496 0.504 0.584
0.504 0.496 0.084
0.644 0.356 0.316
0.694 0.306 0.663
0.709 0.291 0.980
0.956 0.044 0.402

***

2.
PBE La4HgTe2Se, relaxed; DFT total energy = -5.12 eV/atom; DOS at the Fermi energy = 4.8 states/eV/f.u.; formation energy (no corrections) = -1.39 eV per atom
1.0
7.847 0.000 0.000
0.000 4.428 0.000
-2.534 0.000 7.487
La Hg Te Se
4 1 2 1
Direct
0.239 0.000 0.235
0.249 0.500 0.759
0.751 0.500 0.241
0.761 0.000 0.765
0.500 0.000 0.000
0.000 0.000 0.500
0.500 0.500 0.500
0.000 0.500 0.000

***

3.
PBE La2TmHgSe5, relaxed; DFT total energy = -5.11 eV/atom; DOS at the Fermi energy = 2.2 states/eV/f.u.; formation energy (no corrections) = -1.55 eV per atom
1.0
2.072 -8.929 0.000
2.072 8.929 0.000
0.000 0.000 12.838
La Tm Hg Se
4 2 2 10
Direct
0.118 0.882 0.500
0.133 0.867 0.126
0.867 0.133 0.626
0.882 0.118 0.000
0.199 0.801 0.825
0.801 0.199 0.325
0.460 0.540 0.274
0.540 0.460 0.774
0.047 0.953 0.900
0.289 0.711 0.479
0.306 0.694 0.169
0.356 0.644 0.817
0.495 0.505 0.582
0.505 0.495 0.082
0.644 0.356 0.317
0.694 0.306 0.669
0.711 0.289 0.979
0.953 0.047 0.400

***

4.
PBE LaSi2Hg, relaxed; DFT total energy = -4.24 eV/atom; DOS at the Fermi energy = 2.0 states/eV/f.u.; formation energy (no corrections) = -0.23 eV per atom
1.0
4.793 -1.966 0.000
4.793 1.966 0.000
-2.116 0.000 5.052
La Si Hg
1 2 1
Direct
0.000 0.000 0.000
0.251 0.251 0.639
0.749 0.749 0.361
0.500 0.500 0.500

***

5.
PBE LaSi2Hg2, relaxed; excess energy over the best structure of this formula in the dataset = 120 meV/atom; DFT total energy = -3.36 eV/atom; DOS at the Fermi energy = 2.1 states/eV/f.u.; formation energy (no corrections) = -0.08 eV per atom
1.0
-2.398 2.398 5.036
2.398 -2.398 5.036
2.398 2.398 -5.036
La Si Hg
1 2 2
Direct
0.000 0.000 0.000
0.250 0.750 0.500
0.750 0.250 0.500
0.363 0.363 0.000
0.637 0.637 0.000

***

6.
PBE La6Si2Hg, relaxed; DFT total energy = -4.99 eV/atom; DOS at the Fermi energy = 10.2 states/eV/f.u.; formation energy (no corrections) = -0.46 eV per atom
1.0
-5.068 5.152 5.293
5.068 -5.152 5.293
5.068 5.152 -5.293
La Si Hg
12 4 2
Direct
0.042 0.247 0.795
0.178 0.273 0.451
0.178 0.727 0.906
0.323 0.029 0.706
0.323 0.617 0.294
0.452 0.247 0.205
0.548 0.753 0.795
0.677 0.383 0.706
0.677 0.971 0.294
0.822 0.273 0.094
0.822 0.727 0.549
0.958 0.753 0.205
0.113 0.613 0.500
0.372 0.000 0.372
0.628 0.000 0.628
0.887 0.387 0.500
0.000 0.000 0.000
0.500 0.500 0.000

***

7.
PBE LaSiHg, relaxed; DFT total energy = -3.86 eV/atom; DOS at the Fermi energy = 2.3 states/eV/f.u.; formation energy (no corrections) = -0.31 eV per atom
1.0
0.000 3.430 3.430
3.430 0.000 3.430
3.430 3.430 0.000
La Si Hg
1 1 1
Direct
0.000 0.000 0.000
0.250 0.250 0.250
0.500 0.500 0.500

***

8.
PBE LaSiHg3, relaxed; excess energy over the best structure of this formula in the dataset = 0 meV/atom; DFT total energy = -2.23 eV/atom; DOS at the Fermi energy = 2.7 states/eV/f.u.; formation energy (no corrections) = 0.02 eV per atom
1.0
5.110 0.000 0.000
0.000 5.110 0.000
0.000 0.000 5.110
La Si Hg
1 1 3
Direct
0.000 0.000 0.000
0.500 0.500 0.500
0.000 0.500 0.500
0.500 0.000 0.500
0.500 0.500 0.000

***

9.
PBE LaSi2Hg, relaxed; DFT total energy = -4.21 eV/atom; DOS at the Fermi energy = 2.6 states/eV/f.u.; formation energy (no corrections) = -0.19 eV per atom
1.0
4.183 0.000 0.000
0.000 4.204 0.000
-0.010 0.000 5.635
La Si Hg
1 2 1
Direct
0.000 0.000 0.000
0.499 0.500 0.793
0.501 0.500 0.207
0.500 0.000 0.500

***

10.
PBE La12Si5Hg, relaxed; DFT total energy = -5.29 eV/atom; DOS at the Fermi energy = 17.3 states/eV/f.u.; formation energy (no corrections) = -0.48 eV per atom
1.0
-5.007 5.119 5.301
5.007 -5.119 5.301
5.007 5.119 -5.301
La Si Hg
12 5 1
Direct
0.037 0.238 0.800
0.176 0.265 0.441
0.176 0.735 0.912
0.321 0.029 0.707
0.321 0.614 0.293
0.438 0.238 0.200
0.562 0.762 0.800
0.679 0.386 0.707
0.679 0.971 0.293
0.824 0.265 0.088
0.824 0.735 0.559
0.963 0.762 0.200
0.000 0.000 0.000
0.113 0.613 0.500
0.378 0.000 0.378
0.622 0.000 0.622
0.887 0.387 0.500
0.500 0.500 0.000

***

11.
PBE LaSiHg, relaxed; DFT total energy = -3.73 eV/atom; DOS at the Fermi energy = 2.3 states/eV/f.u.; formation energy (no corrections) = -0.18 eV per atom
1.0
0.000 2.679 5.642
2.454 0.000 5.642
2.454 2.679 0.000
La Si Hg
1 1 1
Direct
0.000 0.000 0.000
0.325 0.325 0.675
0.693 0.693 0.307

***

12.
PBE LaSi2Hg, relaxed; DFT total energy = -3.98 eV/atom; DOS at the Fermi energy = 3.3 states/eV/f.u.; formation energy (no corrections) = 0.04 eV per atom
1.0
0.000 3.586 3.586
3.586 0.000 3.586
3.586 3.586 0.000
La Si Hg
1 2 1
Direct
0.000 0.000 0.000
0.500 0.500 0.500
0.750 0.750 0.750
0.250 0.250 0.250